Below is a geometry-optimized Y2BiP structure, with properties calculated at the PBE level.

Calculated values
ΔE_f (eV per atom): -0.698
Mass density (g/cm³): 6.81
Total energy (eV per atom): -6.253

a = 5.2435 Å, b = 5.2435 Å, c = 5.2435 Å
α = 60.00°, β = 60.00°, γ = 60.00°
Closest atoms and distances in Å follow each position.
Positions (direct):
Y 0.2500 0.2500 0.2500  4 P 3.21, 4 Bi 3.21
Y 0.7500 0.7500 0.7500  4 P 3.21, 4 Bi 3.21
Bi 0.0000 0.0000 0.0000  8 Y 3.21
P 0.5000 0.5000 0.5000  8 Y 3.21